## In2Sn3HgCl8 (PBE-GGA)

Data for crystalline In2Sn3HgCl8 at its relaxed geometry.

## Properties
Volume in Å³ per atom: 38.55
E_form (uncorrected) in meV per atom: -840
Crystal system: trigonal

CIF file:
```
data_In2Sn3HgCl8
_chemical_formula_sum 'In6 Sn9 Hg3 Cl24'
_cell_length_a 8.3617
_cell_length_b 8.3617
_cell_length_c 26.7412
_cell_angle_alpha 90.00
_cell_angle_beta 90.00
_cell_angle_gamma 120.00
_symmetry_space_group_name_H-M 'R 3 m'
_symmetry_Int_Tables_number 160
_symmetry_space_group_name_Hall 'R 3 -2"'
loop_
_atom_site_label
_atom_site_fract_x
_atom_site_fract_y
_atom_site_fract_z
In1 0.0000 0.0000 0.0000
In2 0.0000 0.0000 0.3457
Sn1 0.0043 0.5022 0.4781
Hg1 0.0000 0.0000 0.6238
Cl1 0.0000 0.0000 0.2079
Cl2 0.0000 0.0000 0.7537
Cl3 0.0137 0.5069 0.7370
Cl4 0.1807 0.3614 0.5314
```



## InHgTe2Cl (PBE-GGA)

Data for crystalline InHgTe2Cl at its relaxed geometry.

## Properties
Volume in Å³ per atom: 40.15
E_form (uncorrected) in meV per atom: 266
Crystal system: tetragonal

CIF file:
```
data_InHgTe2Cl
_chemical_formula_sum 'In1 Hg1 Te2 Cl1'
_cell_length_a 5.479
_cell_length_b 5.479
_cell_length_c 6.687
_cell_angle_alpha 90.00
_cell_angle_beta 90.00
_cell_angle_gamma 90.00
_symmetry_space_group_name_H-M 'P 4/m m m'
_symmetry_Int_Tables_number 123
_symmetry_space_group_name_Hall '-P 4 2'
loop_
_atom_site_label
_atom_site_fract_x
_atom_site_fract_y
_atom_site_fract_z
In1 0.000 0.000 0.000
Hg1 0.000 0.000 0.500
Te1 0.000 0.500 0.500
Cl1 0.500 0.500 0.000
```



## TiIn3Hg2Cl6 (PBE-GGA)

Data for crystalline TiIn3Hg2Cl6 at its relaxed geometry.

## Properties
Volume in Å³ per atom: 32.82
E_form (uncorrected) in meV per atom: -898
Crystal system: monoclinic

CIF file:
```
data_TiIn3Hg2Cl6
_chemical_formula_sum 'Ti2 In6 Hg4 Cl12'
_cell_length_a 15.207
_cell_length_b 7.569
_cell_length_c 6.872
_cell_angle_alpha 90.00
_cell_angle_beta 95.27
_cell_angle_gamma 90.00
_symmetry_space_group_name_H-M 'C 1 2/m 1'
_symmetry_Int_Tables_number 12
loop_
_symmetry_equiv_pos_as_xyz
'x,y,z'
'-x,-y,-z'
'-x,y,-z'
'x,-y,z'
'x+1/2,y+1/2,z'
'-x+1/2,-y+1/2,-z'
'-x+1/2,y+1/2,-z'
'x+1/2,-y+1/2,z'
loop_
_atom_site_label
_atom_site_fract_x
_atom_site_fract_y
_atom_site_fract_z
Ti1 0.000 0.000 0.000
In1 0.000 0.500 0.500
In2 0.250 0.250 0.000
Hg1 0.162 0.500 0.289
Cl1 0.065 0.226 0.808
Cl2 0.133 0.000 0.224
```



## TiInHgCl6 (PBE-GGA)

Data for crystalline TiInHgCl6 at its relaxed geometry.

## Properties
Volume in Å³ per atom: 30.53
E_form (uncorrected) in meV per atom: -1088
Crystal system: trigonal

CIF file:
```
data_TiInHgCl6
_chemical_formula_sum 'Ti1 In1 Hg1 Cl6'
_cell_length_a 6.9531
_cell_length_b 6.9531
_cell_length_c 6.5635
_cell_angle_alpha 90.00
_cell_angle_beta 90.00
_cell_angle_gamma 120.00
_symmetry_space_group_name_H-M 'P 3 1 2'
_symmetry_Int_Tables_number 149
loop_
_symmetry_equiv_pos_as_xyz
'x,y,z'
'-y,x-y,z'
'-x+y,-x,z'
'-y,-x,-z'
'-x+y,y,-z'
'x,x-y,-z'
loop_
_atom_site_label
_atom_site_fract_x
_atom_site_fract_y
_atom_site_fract_z
Ti1 0.0000 0.0000 0.0000
In1 0.3333 0.6667 0.5000
Hg1 0.6667 0.3333 0.0000
Cl1 0.2883 0.0145 0.2114
```



## TlInHgCl4 (PBE-GGA)

Data for crystalline TlInHgCl4 at its relaxed geometry.

## Properties
Volume in Å³ per atom: 41.64
E_form (uncorrected) in meV per atom: -906
Crystal system: monoclinic

CIF file:
```
data_TlInHgCl4
_chemical_formula_sum 'Tl4 In4 Hg4 Cl16'
_cell_length_a 15.050
_cell_length_b 9.794
_cell_length_c 8.785
_cell_angle_alpha 90.00
_cell_angle_beta 115.79
_cell_angle_gamma 90.00
_symmetry_space_group_name_H-M 'C 1 2/m 1'
_symmetry_Int_Tables_number 12
loop_
_symmetry_equiv_pos_as_xyz
'x,y,z'
'-x,-y,-z'
'-x,y,-z'
'x,-y,z'
'x+1/2,y+1/2,z'
'-x+1/2,-y+1/2,-z'
'-x+1/2,y+1/2,-z'
'x+1/2,-y+1/2,z'
loop_
_atom_site_label
_atom_site_fract_x
_atom_site_fract_y
_atom_site_fract_z
Tl1 0.202 0.000 0.299
In1 0.188 0.000 0.792
Hg1 0.064 0.500 0.380
Cl1 0.049 0.000 0.857
Cl2 0.173 0.500 0.938
Cl3 0.185 0.191 0.619
```



## TlInHgCl2 (PBE-GGA)

Data for crystalline TlInHgCl2 at its relaxed geometry.

## Properties
Volume in Å³ per atom: 34.72
E_form (uncorrected) in meV per atom: -695
Crystal system: monoclinic

CIF file:
```
data_TlInHgCl2
_chemical_formula_sum 'Tl2 In2 Hg2 Cl4'
_cell_length_a 7.815
_cell_length_b 4.439
_cell_length_c 10.023
_cell_angle_alpha 90.00
_cell_angle_beta 92.93
_cell_angle_gamma 90.00
_symmetry_space_group_name_H-M 'P 1 21/m 1'
_symmetry_Int_Tables_number 11
loop_
_symmetry_equiv_pos_as_xyz
'x,y,z'
'-x,-y,-z'
'-x,y+1/2,-z'
'x,-y+1/2,z'
loop_
_atom_site_label
_atom_site_fract_x
_atom_site_fract_y
_atom_site_fract_z
Tl1 0.193 0.250 0.381
In1 0.220 0.750 0.887
Hg1 0.480 0.750 0.203
Cl1 0.015 0.750 0.156
Cl2 0.197 0.750 0.590
```